Entry 1:
DFT (PBE-GGA) results for AcDyHgRh after structural relaxation.

The structure in POSCAR format:
```
AcDyHgRh
1.0
-0.565 -5.059 -1.433
2.156 -3.836 2.933
-3.095 -3.221 2.831
Ac Dy Hg Rh
1 1 1 1
direct
0.250 0.250 0.250
0.750 0.750 0.750
0.500 0.500 0.500
0.000 0.000 0.000
```

Values from the calculation:
Crystal system ... cubic
Symmetry ... F-43m

Entry 2:
DFT (PBE-GGA) results for AcDyHgRu after structural relaxation.

The structure in POSCAR format:
```
AcDyHgRu
1.0
5.257 0.000 0.000
2.628 4.552 0.000
2.628 1.517 4.292
Ac Hg Ru Dy
1 1 1 1
direct
0.000 0.000 0.000
0.250 0.250 0.250
0.750 0.750 0.750
0.500 0.500 0.500
```

Values from the calculation:
Crystal system ... cubic
Symmetry ... F-43m

| no. | E_form (eV/atom) | energy (eV per atom) | total magnetization (μB/cell) |
| --- | --- | --- | --- |
| 1 | -0.471 | -4.5620 | 0.00 |
| 2 | -0.191 | -4.7630 | 0.00 |